one | # Nb3TcNi (PBE-GGA, optimized geometry)
data_Nb3TcNi
_chemical_formula_sum 'Nb3 Tc1 Ni1'
_cell_length_a 4.764
_cell_length_b 4.764
_cell_length_c 4.764
_cell_angle_alpha 90.00
_cell_angle_beta 90.00
_cell_angle_gamma 90.00
_space_group_name_H-M_alt 'P 1'
_space_group_IT_number 1
_space_group_name_Hall 'P 1'
loop_
_atom_site_label
_atom_site_type_symbol
_atom_site_fract_x
_atom_site_fract_y
_atom_site_fract_z
Nb1 Nb 0.000 0.000 0.500
Nb2 Nb 0.000 0.500 0.000
Nb3 Nb 0.500 0.000 0.000
Tc1 Tc 0.000 0.000 0.000
Ni1 Ni 0.500 0.500 0.500
# - M_tot: 0.37 μB per formula unit

---

two | # Nb3TcNi (PBE-GGA, optimized geometry)
data_Nb3TcNi
_chemical_formula_sum 'Nb3 Tc1 Ni1'
_cell_length_a 4.559
_cell_length_b 4.559
_cell_length_c 4.559
_cell_angle_alpha 90.00
_cell_angle_beta 90.00
_cell_angle_gamma 90.00
_space_group_name_H-M_alt 'P 1'
_space_group_IT_number 1
_space_group_name_Hall 'P 1'
loop_
_atom_site_label
_atom_site_type_symbol
_atom_site_fract_x
_atom_site_fract_y
_atom_site_fract_z
Nb1 Nb 0.000 0.000 0.500
Nb2 Nb 0.000 0.500 0.000
Nb3 Nb 0.500 0.000 0.000
Tc1 Tc 0.500 0.500 0.500
Ni1 Ni 0.000 0.000 0.000
# - M_tot: 0.00 μB per formula unit

---

Tell me which of them is the least stable. Sure, it is one.

---

one | # NbNiTe3 (PBE-GGA, optimized geometry)
data_NbNiTe3
_chemical_formula_sum 'Nb1 Ni1 Te3'
_cell_length_a 4.932
_cell_length_b 4.932
_cell_length_c 4.932
_cell_angle_alpha 90.00
_cell_angle_beta 90.00
_cell_angle_gamma 90.00
_space_group_name_H-M_alt 'P 1'
_space_group_IT_number 1
_space_group_name_Hall 'P 1'
loop_
_atom_site_label
_atom_site_type_symbol
_atom_site_fract_x
_atom_site_fract_y
_atom_site_fract_z
Nb1 Nb 0.000 0.000 0.000
Ni1 Ni 0.500 0.500 0.500
Te1 Te 0.000 0.500 0.500
Te2 Te 0.500 0.000 0.500
Te3 Te 0.500 0.500 0.000
# - M_tot: 0.00 μB per formula unit

---

two | # NbNiTe3 (PBE-GGA, optimized geometry)
data_NbNiTe3
_chemical_formula_sum 'Nb1 Ni1 Te3'
_cell_length_a 5.354
_cell_length_b 5.354
_cell_length_c 5.354
_cell_angle_alpha 90.00
_cell_angle_beta 90.00
_cell_angle_gamma 90.00
_space_group_name_H-M_alt 'P 1'
_space_group_IT_number 1
_space_group_name_Hall 'P 1'
loop_
_atom_site_label
_atom_site_type_symbol
_atom_site_fract_x
_atom_site_fract_y
_atom_site_fract_z
Nb1 Nb 0.000 0.000 0.000
Ni1 Ni 0.500 0.500 0.500
Te1 Te 0.000 0.000 0.500
Te2 Te 0.000 0.500 0.000
Te3 Te 0.500 0.000 0.000
# - M_tot: 0.01 μB per formula unit

---

Tell me which of them is the least stable. Sure, it is two.

---

one | # Nb3NiTe (PBE-GGA, optimized geometry)
data_Nb3NiTe
_chemical_formula_sum 'Nb3 Ni1 Te1'
_cell_length_a 4.993
_cell_length_b 4.993
_cell_length_c 4.993
_cell_angle_alpha 90.00
_cell_angle_beta 90.00
_cell_angle_gamma 90.00
_space_group_name_H-M_alt 'P 1'
_space_group_IT_number 1
_space_group_name_Hall 'P 1'
loop_
_atom_site_label
_atom_site_type_symbol
_atom_site_fract_x
_atom_site_fract_y
_atom_site_fract_z
Nb1 Nb 0.000 0.000 0.500
Nb2 Nb 0.000 0.500 0.000
Nb3 Nb 0.500 0.000 0.000
Ni1 Ni 0.500 0.500 0.500
Te1 Te 0.000 0.000 0.000
# - M_tot: 0.00 μB per formula unit

---

two | # Nb3NiTe (PBE-GGA, optimized geometry)
data_Nb3NiTe
_chemical_formula_sum 'Nb3 Ni1 Te1'
_cell_length_a 4.677
_cell_length_b 4.677
_cell_length_c 4.677
_cell_angle_alpha 90.00
_cell_angle_beta 90.00
_cell_angle_gamma 90.00
_space_group_name_H-M_alt 'P 1'
_space_group_IT_number 1
_space_group_name_Hall 'P 1'
loop_
_atom_site_label
_atom_site_type_symbol
_atom_site_fract_x
_atom_site_fract_y
_atom_site_fract_z
Nb1 Nb 0.000 0.000 0.500
Nb2 Nb 0.000 0.500 0.000
Nb3 Nb 0.500 0.000 0.000
Ni1 Ni 0.000 0.000 0.000
Te1 Te 0.500 0.500 0.500
# - M_tot: 0.00 μB per formula unit

---

Tell me which of them is the least stable. Sure, it is one.

---

one | # Nb2Ni5Te6 (PBE-GGA, optimized geometry)
data_Nb2Ni5Te6
_chemical_formula_sum 'Nb4 Ni10 Te12'
_cell_length_a 7.758
_cell_length_b 8.334
_cell_length_c 10.413
_cell_angle_alpha 102.77
_cell_angle_beta 98.73
_cell_angle_gamma 117.67
_space_group_name_H-M_alt 'P 1'
_space_group_IT_number 1
_space_group_name_Hall 'P 1'
loop_
_atom_site_label
_atom_site_type_symbol
_atom_site_fract_x
_atom_site_fract_y
_atom_site_fract_z
Nb1 Nb 0.129 0.005 0.143
Nb2 Nb 0.297 0.999 0.854
Nb3 Nb 0.703 0.001 0.146
Nb4 Nb 0.871 0.995 0.857
Ni1 Ni 0.069 0.033 0.621
Ni2 Ni 0.098 0.582 0.753
Ni3 Ni 0.292 0.644 0.412
Ni4 Ni 0.312 0.140 0.438
Ni5 Ni 0.395 0.397 0.271
Ni6 Ni 0.605 0.603 0.729
Ni7 Ni 0.688 0.860 0.562
Ni8 Ni 0.708 0.356 0.588
Ni9 Ni 0.902 0.418 0.247
Ni10 Ni 0.931 0.967 0.379
Te1 Te 0.089 0.281 0.349
Te2 Te 0.089 0.774 0.317
Te3 Te 0.258 0.755 0.008
Te4 Te 0.265 0.289 0.012
Te5 Te 0.408 0.761 0.675
Te6 Te 0.434 0.254 0.697
Te7 Te 0.566 0.746 0.303
Te8 Te 0.592 0.239 0.325
Te9 Te 0.735 0.711 0.988
Te10 Te 0.742 0.245 0.992
Te11 Te 0.911 0.226 0.683
Te12 Te 0.911 0.719 0.651
# - M_tot: 0.00 μB per formula unit

---

two | # Nb2Ni5Te6 (PBE-GGA, optimized geometry)
data_Nb2Ni5Te6
_chemical_formula_sum 'Nb4 Ni10 Te12'
_cell_length_a 7.568
_cell_length_b 8.401
_cell_length_c 10.690
_cell_angle_alpha 67.01
_cell_angle_beta 69.69
_cell_angle_gamma 63.60
_space_group_name_H-M_alt 'P 1'
_space_group_IT_number 1
_space_group_name_Hall 'P 1'
loop_
_atom_site_label
_atom_site_type_symbol
_atom_site_fract_x
_atom_site_fract_y
_atom_site_fract_z
Nb1 Nb 0.124 0.203 0.298
Nb2 Nb 0.376 0.788 0.710
Nb3 Nb 0.624 0.212 0.290
Nb4 Nb 0.876 0.797 0.702
Ni1 Ni 0.070 0.045 0.571
Ni2 Ni 0.122 0.602 0.911
Ni3 Ni 0.237 0.776 0.002
Ni4 Ni 0.382 0.403 0.087
Ni5 Ni 0.433 0.957 0.430
Ni6 Ni 0.567 0.043 0.570
Ni7 Ni 0.618 0.597 0.913
Ni8 Ni 0.763 0.224 0.998
Ni9 Ni 0.878 0.398 0.089
Ni10 Ni 0.930 0.955 0.429
Te1 Te 0.001 0.427 0.830
Te2 Te 0.030 0.032 0.160
Te3 Te 0.242 0.281 0.493
Te4 Te 0.261 0.725 0.502
Te5 Te 0.482 0.960 0.840
Te6 Te 0.494 0.415 0.829
Te7 Te 0.506 0.585 0.171
Te8 Te 0.518 0.040 0.160
Te9 Te 0.739 0.275 0.498
Te10 Te 0.758 0.719 0.507
Te11 Te 0.970 0.968 0.840
Te12 Te 0.999 0.573 0.170
# - M_tot: 0.00 μB per formula unit

---

Tell me which of them is the least stable. Sure, it is one.

---

one | # Nb2NiTe5 (PBE-GGA, optimized geometry)
data_Nb2NiTe5
_chemical_formula_sum 'Nb4 Ni2 Te10'
_cell_length_a 6.877
_cell_length_b 6.877
_cell_length_c 13.240
_cell_angle_alpha 90.00
_cell_angle_beta 90.00
_cell_angle_gamma 133.77
_space_group_name_H-M_alt 'P 1'
_space_group_IT_number 1
_space_group_name_Hall 'P 1'
loop_
_atom_site_label
_atom_site_type_symbol
_atom_site_fract_x
_atom_site_fract_y
_atom_site_fract_z
Nb1 Nb 0.179 0.821 0.548
Nb2 Nb 0.179 0.821 0.952
Nb3 Nb 0.821 0.179 0.048
Nb4 Nb 0.821 0.179 0.452
Ni1 Ni 0.185 0.815 0.250
Ni2 Ni 0.815 0.185 0.750
Te1 Te 0.043 0.957 0.111
Te2 Te 0.043 0.957 0.389
Te3 Te 0.275 0.725 0.750
Te4 Te 0.328 0.672 0.104
Te5 Te 0.328 0.672 0.396
Te6 Te 0.672 0.328 0.604
Te7 Te 0.672 0.328 0.896
Te8 Te 0.725 0.275 0.250
Te9 Te 0.957 0.043 0.611
Te10 Te 0.957 0.043 0.889
# - M_tot: 0.00 μB per formula unit

---

two | # Nb2NiTe5 (PBE-GGA, optimized geometry)
data_Nb2NiTe5
_chemical_formula_sum 'Nb4 Ni2 Te10'
_cell_length_a 7.587
_cell_length_b 7.587
_cell_length_c 19.094
_cell_angle_alpha 90.00
_cell_angle_beta 90.00
_cell_angle_gamma 154.57
_space_group_name_H-M_alt 'P 1'
_space_group_IT_number 1
_space_group_name_Hall 'P 1'
loop_
_atom_site_label
_atom_site_type_symbol
_atom_site_fract_x
_atom_site_fract_y
_atom_site_fract_z
Nb1 Nb 0.240 0.760 0.643
Nb2 Nb 0.240 0.760 0.857
Nb3 Nb 0.760 0.240 0.143
Nb4 Nb 0.760 0.240 0.357
Ni1 Ni 0.196 0.804 0.250
Ni2 Ni 0.804 0.196 0.750
Te1 Te 0.109 0.891 0.139
Te2 Te 0.109 0.891 0.361
Te3 Te 0.361 0.639 0.250
Te4 Te 0.364 0.636 0.058
Te5 Te 0.364 0.636 0.442
Te6 Te 0.636 0.364 0.558
Te7 Te 0.636 0.364 0.942
Te8 Te 0.639 0.361 0.750
Te9 Te 0.891 0.109 0.639
Te10 Te 0.891 0.109 0.861
# - M_tot: 0.00 μB per formula unit

---

Tell me which of them is the least stable. Sure, it is one.